No. 1
# CrFe2Ag

A geometry-optimized CrFe2Ag structure (GGA-PBEsol, Alexandria via LeMat-Bulk).

Values from the calculation:
- symmetry = P4/mmm
- polymorph energy (0 for the lowest one) (eV per atom) = 0.085
- energy of formation from the pure elements (eV/atom) = 0.4211

```
CrFe2Ag
1.0
-3.674 0.254 -0.260
-0.227 -3.665 -0.384
-0.284 -0.366 3.663
Ag Cr Fe
1 1 2
Direct
0.500 0.500 0.500
0.000 0.000 0.500
0.000 0.500 0.000
0.500 0.000 0.000
```

No. 2
# CaMgTe3

A geometry-optimized CaMgTe3 structure (GGA-PBEsol, Alexandria via LeMat-Bulk).

Values from the calculation:
- symmetry = Pm-3m
- polymorph energy (0 for the lowest one) (eV per atom) = 0.000

```
CaMgTe3
1.0
-1.719 3.118 4.102
-4.949 -2.203 -0.399
1.434 -3.863 3.538
Ca Te Mg
1 3 1
Direct
0.500 0.500 0.500
0.000 0.500 0.000
0.000 0.000 0.500
0.500 0.000 0.000
0.000 0.000 0.000
```

No. 3
# HoInCu

A geometry-optimized HoInCu structure (GGA-PBEsol, Alexandria via LeMat-Bulk).

Values from the calculation:
- symmetry = P-62m
- energy of formation from the pure elements (eV/atom) = -0.4532

```
HoInCu
1.0
-0.899 3.364 1.423
1.952 -2.334 6.752
5.018 3.205 -4.404
Ho In Cu
3 3 3
Direct
0.500 0.000 0.591
0.500 0.591 0.000
0.500 0.409 0.409
0.000 0.258 0.000
0.000 0.000 0.258
0.000 0.742 0.742
0.000 0.667 0.333
0.500 0.000 0.000
0.000 0.333 0.667
```

No. 4
# KHf3Ni

A geometry-optimized KHf3Ni structure (GGA-PBEsol, Alexandria via LeMat-Bulk).

Values from the calculation:
- symmetry = Pm-3m
- energy of formation from the pure elements (eV/atom) = 0.6829

```
KHf3Ni
1.0
-0.405 -3.368 3.573
0.484 -3.595 -3.334
4.886 0.077 0.626
Ni K Hf
1 1 3
Direct
0.000 0.000 0.000
0.500 0.500 0.500
0.000 0.500 0.000
0.000 0.000 0.500
0.500 0.000 0.000
```

No. 5
# LaTcSe2Br

A geometry-optimized LaTcSe2Br structure (GGA-PBEsol, Alexandria via LeMat-Bulk).

Values from the calculation:
- E (eV/atom) = -5.84
- symmetry = P4/mmm

```
LaTcSe2Br
1.0
4.888 0.000 0.000
0.000 4.904 0.000
0.000 0.000 4.904
Se Tc Br La
2 1 1 1
Direct
0.000 0.000 0.500
0.000 0.500 0.000
0.000 0.000 0.000
0.500 0.000 0.000
0.500 0.500 0.500
```

No. 6
# YAg3

A geometry-optimized YAg3 structure (GGA-PBEsol, Alexandria via LeMat-Bulk).

Values from the calculation:
- symmetry = Fm-3m
- energy of formation from the pure elements (eV/atom) = -0.2287

```
YAg3
1.0
-4.199 0.535 2.253
-0.706 -2.055 4.275
-0.275 2.710 3.947
Y Ag
1 3
Direct
0.500 0.500 0.500
0.250 0.250 0.250
0.750 0.750 0.750
0.000 0.000 0.000
```

No. 7
# Ta2H2Ir

A geometry-optimized Ta2H2Ir structure (GGA-PBEsol, Alexandria via LeMat-Bulk).

Values from the calculation:
- E (eV/atom) = -8.70
- symmetry = I4/mmm

```
Ta2H2Ir
1.0
-0.187 -1.117 -2.666
1.623 -2.251 0.829
-5.985 -1.489 2.617
H Ir Ta
2 1 2
Direct
0.250 0.750 0.500
0.750 0.250 0.500
0.000 0.000 0.000
0.353 0.353 0.706
0.647 0.647 0.294
```

No. 8
# RbTiTeI2

A geometry-optimized RbTiTeI2 structure (GGA-PBEsol, Alexandria via LeMat-Bulk).

Values from the calculation:
- symmetry = P4/mmm
- polymorph energy (0 for the lowest one) (eV per atom) = 0.000

```
RbTiTeI2
1.0
5.133 0.000 0.000
0.000 6.631 0.000
0.000 0.000 6.631
I Te Rb Ti
2 1 1 1
Direct
0.000 0.000 0.500
0.000 0.500 0.000
0.000 0.000 0.000
0.500 0.500 0.500
0.500 0.000 0.000
```

No. 9
# CaHf2S

A geometry-optimized CaHf2S structure (GGA-PBEsol, Alexandria via LeMat-Bulk).

Values from the calculation:
- E (eV/atom) = -6.65
- symmetry = I-42d

```
CaHf2S
1.0
-3.081 3.591 1.776
-0.781 -2.736 4.177
8.808 3.548 0.913
Ca Hf S
2 4 2
Direct
0.250 0.750 0.500
0.000 0.000 0.000
0.583 0.875 0.250
0.667 0.375 0.250
0.125 0.333 0.750
0.625 0.417 0.750
0.750 0.250 0.500
0.500 0.500 0.000
```

No. 10
# CaCoRh2

A geometry-optimized CaCoRh2 structure (GGA-PBEsol, Alexandria via LeMat-Bulk).

Values from the calculation:
- symmetry = P4/mmm
- polymorph energy (0 for the lowest one) (eV per atom) = 0.037
- energy of formation from the pure elements (eV/atom) = 0.2266

```
CaCoRh2
1.0
-0.960 3.252 1.688
-1.697 -2.026 2.937
3.425 -0.012 1.971
Ca Co Rh
1 1 2
Direct
0.500 0.500 0.500
0.500 0.000 0.000
0.000 0.000 0.500
0.000 0.500 0.000
```